The following is a GGA-PBE calculation of a relaxed structure of KCF2, from Alexandria.

energy relative to the elements, uncorrected	13.9	kJ per mole of atoms
calculated total energy	-13.5	eV per cell
size of the total moment	1.00	Bohr magnetons per cell
DOS(E_F)	2.341	states/eV/cell

a b c (Å): 4.2988 4.2988 4.2988
angles (deg): 60.00 60.00 60.00
Last column: nearest neighbours and their distance in Å.
Sites, in units of the cell vectors:
K 0.0000 0.0000 0.0000  8 F 2.63
C 0.5000 0.5000 0.5000  8 F 2.63
F 0.2500 0.2500 0.2500  4 K 2.63, 4 C 2.63
F 0.7500 0.7500 0.7500  4 K 2.63, 4 C 2.63